Entry 1:
# NiGe | Alexandria | PBE-GGA | relaxed
# Uncorrected energy = -42.79 eV per cell
# Spin magnetization = 0.0 μB per cell
# Calculated formation energy = -0.150 eV per atom
data_NiGe
_space_group_name_H-M_alt 'I m m 2'
_space_group_IT_number 44
_cell_length_a 2.7183
_cell_length_b 3.6871
_cell_length_c 11.1237
_cell_angle_alpha 90.00
_cell_angle_beta 90.00
_cell_angle_gamma 90.00
loop_
_space_group_symop_operation_xyz
'x,y,z'
'-x,-y,z'
'-x,y,z'
'x,-y,z'
'x+1/2,y+1/2,z+1/2'
'-x+1/2,-y+1/2,z+1/2'
'-x+1/2,y+1/2,z+1/2'
'x+1/2,-y+1/2,z+1/2'
loop_
_atom_site_label
_atom_site_type_symbol
_atom_site_fract_x
_atom_site_fract_y
_atom_site_fract_z
_atom_site_occupancy
Ni1 Ni 0.0000 0.0000 0.0000 1
Ni2 Ni 0.0000 0.5000 0.2850 1
Ge1 Ge 0.0000 0.0000 0.4341 1
Ge2 Ge 0.0000 0.5000 0.6869 1

---

Entry 2:
# MnSi2Ni | Alexandria | PBE-GGA | relaxed
# Uncorrected energy = -54.03 eV per cell
# Spin magnetization = 0.0 μB per cell
# Raw formation energy = -0.30 eV per atom
data_MnSi2Ni
_space_group_name_H-M_alt 'I m m 2'
_space_group_IT_number 44
_cell_length_a 2.9940
_cell_length_b 3.6853
_cell_length_c 8.1964
_cell_angle_alpha 90.00
_cell_angle_beta 90.00
_cell_angle_gamma 90.00
loop_
_space_group_symop_operation_xyz
'x,y,z'
'-x,-y,z'
'-x,y,z'
'x,-y,z'
'x+1/2,y+1/2,z+1/2'
'-x+1/2,-y+1/2,z+1/2'
'-x+1/2,y+1/2,z+1/2'
'x+1/2,-y+1/2,z+1/2'
loop_
_atom_site_label
_atom_site_type_symbol
_atom_site_fract_x
_atom_site_fract_y
_atom_site_fract_z
_atom_site_occupancy
Mn1 Mn 0.0000 0.0000 0.0000 1
Si1 Si 0.0000 0.0000 0.4907 1
Si2 Si 0.0000 0.5000 0.2585 1
Ni1 Ni 0.0000 0.5000 0.7647 1

---

no.,mass density (g cm⁻³)
1,7.8
2,6.2